Compound: Ga2TcPd
Source: Alexandria via LeMat-Bulk
Functional: PBE
Structure: optimized geometry

Cell and atoms, written as CIF:
```
data_Ga2TcPd
_chemical_formula_sum 'Ga2 Tc1 Pd1'
_space_group_name_H-M_alt 'P 1'
_space_group_IT_number 1
_space_group_name_Hall 'P 1'
_cell_length_a 2.908
_cell_length_b 2.908
_cell_length_c 8.389
_cell_angle_alpha 80.02
_cell_angle_beta 80.02
_cell_angle_gamma 60.00
loop_
_atom_site_label
_atom_site_fract_x
_atom_site_fract_y
_atom_site_fract_z
Ga1 0.750 0.750 0.750
Ga2 0.250 0.250 0.250
Tc1 0.500 0.500 0.500
Pd1 0.000 0.000 0.000
```

Computed properties:
The calculation puts the total energy at -5.678 eV per atom. Its space group is R-3m (166). The calculation puts the volume at 15.05 Å³ per atom. The offset from the most stable computed form is 118 meV per atom.

---

Compound: GaTcPd3
Source: Alexandria via LeMat-Bulk
Functional: PBE
Structure: optimized geometry

Cell and atoms, written as CIF:
```
data_GaTcPd3
_chemical_formula_sum 'Ga1 Tc1 Pd3'
_space_group_name_H-M_alt 'P 1'
_space_group_IT_number 1
_space_group_name_Hall 'P 1'
_cell_length_a 4.603
_cell_length_b 4.603
_cell_length_c 4.603
_cell_angle_alpha 90.00
_cell_angle_beta 90.00
_cell_angle_gamma 90.00
loop_
_atom_site_label
_atom_site_fract_x
_atom_site_fract_y
_atom_site_fract_z
Ga1 0.000 0.000 0.000
Tc1 0.500 0.500 0.500
Pd1 0.000 0.500 0.000
Pd2 0.000 0.000 0.500
Pd3 0.500 0.000 0.000
```

Computed properties:
The calculation puts the total energy at -5.080 eV per atom. Its space group is Pm-3m (221). The calculation puts the volume at 19.51 Å³ per atom. The offset from the most stable computed form is 0 meV per atom.